Record 1
# PBE-GGA Rh2Pb3, optimized geometry
data_Rh2Pb3
_space_group_name_H-M_alt 'F d d 2'
_space_group_IT_number 43
_space_group_name_Hall 'F 2 -2d'
_cell_length_a 10.006
_cell_length_b 16.252
_cell_length_c 5.544
_cell_angle_alpha 90.00
_cell_angle_beta 90.00
_cell_angle_gamma 90.00
loop_
_atom_site_label
_atom_site_fract_x
_atom_site_fract_y
_atom_site_fract_z
Rh1 0.030 0.354 0.000
Pb1 0.000 0.000 0.754
Pb2 0.084 0.305 0.501
# * ΔE_f: 0.68 kcal/mol of atoms
# * total magnetic moment: 0.000 μB/f.u.


Record 2
# PBE-GGA NbH2Ir, optimized geometry
data_NbH2Ir
_space_group_name_H-M_alt 'I -4 2 d'
_space_group_IT_number 122
_space_group_name_Hall 'I -4 2bw'
_cell_length_a 4.275
_cell_length_b 4.275
_cell_length_c 8.626
_cell_angle_alpha 90.00
_cell_angle_beta 90.00
_cell_angle_gamma 90.00
loop_
_atom_site_label
_atom_site_fract_x
_atom_site_fract_y
_atom_site_fract_z
Nb1 0.000 0.000 0.000
H1 0.220 0.250 0.625
Ir1 0.000 0.000 0.500
# * total magnetic moment: 0.000 μB/f.u.
# * relative energy among the computed polymorphs: 0.00 eV per formula unit


Record 3
# PBE-GGA Rb2PdIBr3, optimized geometry
data_Rb2PdIBr3
_space_group_name_H-M_alt 'I m m m'
_space_group_IT_number 71
_space_group_name_Hall '-I 2 2'
_cell_length_a 5.425
_cell_length_b 5.614
_cell_length_c 16.959
_cell_angle_alpha 90.00
_cell_angle_beta 90.00
_cell_angle_gamma 90.00
loop_
_atom_site_label
_atom_site_fract_x
_atom_site_fract_y
_atom_site_fract_z
Rb1 0.000 0.000 0.142
Pd1 0.000 0.000 0.500
I1 0.000 0.500 0.500
Br1 0.000 0.000 0.347
Br2 0.000 0.500 0.000
# * uncorrected formation energy: -1.072 eV/atom
# * total magnetic moment: 0.000 μB/f.u.